[1]
{"formula": "Na2TiO3", "functional": "SCAN", "state": "PBEsol geometry", "energy_ev_per_atom": -9.861, "volume_a3_per_atom": 10.9, "space_group": "C2/c", "lattice": [[2.654, -4.599, 0.000], [2.654, 4.599, 0.000], [-1.830, 0.000, 10.756]], "species": ["Na", "Na", "Na", "Na", "Na", "Na", "Na", "Na", "Ti", "Ti", "Ti", "Ti", "O", "O", "O", "O", "O", "O", "O", "O", "O", "O", "O", "O"], "fractional_positions": [[0.000, 0.500, 0.500], [0.085, 0.915, 0.750], [0.158, 0.316, 0.000], [0.316, 0.158, 0.500], [0.500, 0.000, 0.000], [0.684, 0.842, 0.500], [0.842, 0.684, 0.000], [0.915, 0.085, 0.250], [0.249, 0.751, 0.250], [0.418, 0.582, 0.750], [0.582, 0.418, 0.250], [0.751, 0.249, 0.750], [0.051, 0.256, 0.647], [0.120, 0.570, 0.851], [0.256, 0.051, 0.147], [0.327, 0.498, 0.351], [0.430, 0.880, 0.649], [0.498, 0.327, 0.851], [0.502, 0.673, 0.149], [0.570, 0.120, 0.351], [0.673, 0.502, 0.649], [0.744, 0.949, 0.853], [0.880, 0.430, 0.149], [0.949, 0.744, 0.353]]}



[2]
{"formula": "Na2Ti4O9", "functional": "SCAN", "state": "PBEsol geometry", "energy_ev_per_atom": -11.648, "volume_a3_per_atom": 11.6, "space_group": "P1", "lattice": [[8.789, 0.000, 0.000], [0.001, 10.576, 0.000], [4.346, 2.451, 11.278]], "species": ["Na", "Na", "Na", "Na", "Na", "Na", "Na", "Na", "Na", "Na", "Na", "Na", "Ti", "Ti", "Ti", "Ti", "Ti", "Ti", "Ti", "Ti", "Ti", "Ti", "Ti", "Ti", "Ti", "Ti", "Ti", "Ti", "Ti", "Ti", "Ti", "Ti", "Ti", "Ti", "Ti", "Ti", "O", "O", "O", "O", "O", "O", "O", "O", "O", "O", "O", "O", "O", "O", "O", "O", "O", "O", "O", "O", "O", "O", "O", "O", "O", "O", "O", "O", "O", "O", "O", "O", "O", "O", "O", "O", "O", "O", "O", "O", "O", "O", "O", "O", "O", "O", "O", "O", "O", "O", "O", "O", "O", "O"], "fractional_positions": [[0.000, 0.000, 0.000], [0.054, 0.298, 0.867], [0.127, 0.702, 0.438], [0.275, 0.192, 0.449], [0.330, 0.998, 0.002], [0.441, 0.306, 0.876], [0.495, 0.896, 0.576], [0.608, 0.201, 0.452], [0.666, 0.011, 0.000], [0.810, 0.498, 0.014], [0.883, 0.900, 0.583], [0.940, 0.201, 0.449], [0.031, 0.405, 0.599], [0.080, 0.227, 0.166], [0.086, 0.718, 0.159], [0.120, 0.091, 0.717], [0.137, 0.608, 0.719], [0.189, 0.475, 0.286], [0.194, 0.980, 0.278], [0.236, 0.783, 0.854], [0.362, 0.411, 0.605], [0.417, 0.228, 0.167], [0.422, 0.718, 0.152], [0.447, 0.101, 0.729], [0.470, 0.601, 0.725], [0.515, 0.482, 0.299], [0.521, 0.972, 0.284], [0.572, 0.790, 0.846], [0.699, 0.418, 0.597], [0.743, 0.220, 0.174], [0.749, 0.725, 0.164], [0.780, 0.108, 0.730], [0.801, 0.591, 0.733], [0.851, 0.482, 0.292], [0.857, 0.973, 0.285], [0.904, 0.794, 0.851], [0.010, 0.591, 0.317], [0.023, 0.086, 0.611], [0.043, 0.379, 0.240], [0.055, 0.661, 0.874], [0.086, 0.046, 0.157], [0.105, 0.905, 0.789], [0.107, 0.381, 0.449], [0.163, 0.817, 0.001], [0.166, 0.292, 0.663], [0.185, 0.156, 0.293], [0.204, 0.539, 0.576], [0.226, 0.818, 0.211], [0.250, 0.119, 0.837], [0.265, 0.608, 0.132], [0.281, 0.475, 0.765], [0.297, 0.273, 0.069], [0.306, 0.921, 0.380], [0.321, 0.724, 0.685], [0.337, 0.591, 0.317], [0.359, 0.086, 0.616], [0.380, 0.379, 0.242], [0.393, 0.661, 0.875], [0.420, 0.046, 0.156], [0.434, 0.906, 0.788], [0.438, 0.382, 0.453], [0.499, 0.818, 0.998], [0.501, 0.295, 0.664], [0.518, 0.154, 0.295], [0.542, 0.540, 0.576], [0.558, 0.821, 0.209], [0.577, 0.115, 0.839], [0.600, 0.610, 0.133], [0.614, 0.477, 0.766], [0.632, 0.279, 0.071], [0.641, 0.928, 0.383], [0.654, 0.726, 0.685], [0.672, 0.593, 0.319], [0.691, 0.083, 0.619], [0.711, 0.383, 0.240], [0.731, 0.661, 0.875], [0.753, 0.044, 0.158], [0.769, 0.907, 0.787], [0.773, 0.383, 0.450], [0.830, 0.819, 0.001], [0.831, 0.294, 0.661], [0.852, 0.154, 0.295], [0.880, 0.539, 0.577], [0.895, 0.821, 0.211], [0.920, 0.112, 0.831], [0.928, 0.610, 0.134], [0.945, 0.477, 0.776], [0.959, 0.278, 0.069], [0.978, 0.922, 0.382], [0.989, 0.722, 0.676]]}



[3]
{"formula": "NaTi2O4", "functional": "SCAN", "state": "PBEsol geometry", "e_above_lowest_polymorph_ev_per_fu": 0.77, "volume_a3_per_atom": 12.0, "space_group": "Imm2", "lattice": [[-1.676, 2.021, 6.197], [1.676, -2.021, 6.197], [1.676, 2.021, -6.197]], "species": ["Na", "Ti", "Ti", "O", "O", "O", "O"], "fractional_positions": [[0.000, 0.000, 0.000], [0.310, 0.810, 0.500], [0.655, 0.655, 0.000], [0.155, 0.655, 0.500], [0.379, 0.379, 0.000], [0.587, 0.087, 0.500], [0.807, 0.807, 0.000]]}



[4]
{"formula": "Na6Ti2O7", "functional": "SCAN", "state": "PBEsol geometry", "e_above_lowest_polymorph_ev_per_fu": 1.34, "volume_a3_per_atom": 15.6, "space_group": "C2/m", "lattice": [[6.783, -4.991, 0.000], [6.783, 4.991, 0.000], [-3.186, 0.000, 10.386]], "species": ["Na", "Na", "Na", "Na", "Na", "Na", "Na", "Na", "Na", "Na", "Na", "Na", "Na", "Na", "Na", "Na", "Na", "Na", "Ti", "Ti", "Ti", "Ti", "Ti", "Ti", "O", "O", "O", "O", "O", "O", "O", "O", "O", "O", "O", "O", "O", "O", "O", "O", "O", "O", "O", "O", "O"], "fractional_positions": [[0.008, 0.320, 0.870], [0.113, 0.794, 0.608], [0.136, 0.443, 0.375], [0.206, 0.887, 0.392], [0.245, 0.575, 0.883], [0.320, 0.008, 0.870], [0.425, 0.755, 0.117], [0.443, 0.136, 0.375], [0.445, 0.445, 0.630], [0.555, 0.555, 0.370], [0.557, 0.864, 0.625], [0.575, 0.245, 0.883], [0.680, 0.992, 0.130], [0.755, 0.425, 0.117], [0.794, 0.113, 0.608], [0.864, 0.557, 0.625], [0.887, 0.206, 0.392], [0.992, 0.680, 0.130], [0.116, 0.116, 0.140], [0.203, 0.203, 0.638], [0.360, 0.360, 0.134], [0.640, 0.640, 0.866], [0.797, 0.797, 0.362], [0.884, 0.884, 0.860], [0.000, 0.000, 0.000], [0.022, 0.730, 0.762], [0.030, 0.730, 0.387], [0.216, 0.216, 0.053], [0.265, 0.567, 0.093], [0.270, 0.970, 0.613], [0.270, 0.978, 0.238], [0.282, 0.282, 0.806], [0.283, 0.283, 0.531], [0.387, 0.387, 0.307], [0.433, 0.735, 0.907], [0.567, 0.265, 0.093], [0.613, 0.613, 0.693], [0.717, 0.717, 0.469], [0.718, 0.718, 0.194], [0.730, 0.022, 0.762], [0.730, 0.030, 0.387], [0.735, 0.433, 0.907], [0.784, 0.784, 0.947], [0.970, 0.270, 0.613], [0.978, 0.270, 0.238]]}



[5]
{"formula": "Na6Ti11O24", "functional": "SCAN", "state": "PBEsol geometry", "energy_ev_per_atom": -11.545, "volume_a3_per_atom": 11.8, "space_group": "Cm", "lattice": [[5.352, -3.015, 0.000], [5.352, 3.015, 0.000], [-0.452, 0.000, 14.938]], "species": ["Na", "Na", "Na", "Na", "Na", "Na", "Ti", "Ti", "Ti", "Ti", "Ti", "Ti", "Ti", "Ti", "Ti", "Ti", "Ti", "O", "O", "O", "O", "O", "O", "O", "O", "O", "O", "O", "O", "O", "O", "O", "O", "O", "O", "O", "O", "O", "O", "O", "O"], "fractional_positions": [[0.000, 0.000, 0.000], [0.009, 0.009, 0.744], [0.351, 0.351, 0.665], [0.505, 0.505, 0.872], [0.656, 0.656, 0.075], [0.670, 0.670, 0.328], [0.002, 0.002, 0.375], [0.004, 0.506, 0.870], [0.161, 0.662, 0.208], [0.168, 0.168, 0.212], [0.327, 0.327, 0.035], [0.345, 0.848, 0.534], [0.506, 0.004, 0.870], [0.662, 0.161, 0.208], [0.678, 0.678, 0.705], [0.844, 0.844, 0.534], [0.848, 0.345, 0.534], [0.014, 0.014, 0.600], [0.039, 0.469, 0.135], [0.150, 0.150, 0.458], [0.155, 0.723, 0.460], [0.166, 0.608, 0.964], [0.184, 0.184, 0.947], [0.283, 0.855, 0.283], [0.321, 0.321, 0.809], [0.331, 0.331, 0.275], [0.401, 0.844, 0.779], [0.467, 0.467, 0.132], [0.469, 0.039, 0.135], [0.540, 0.967, 0.609], [0.541, 0.541, 0.613], [0.608, 0.166, 0.964], [0.676, 0.676, 0.470], [0.689, 0.689, 0.933], [0.723, 0.155, 0.460], [0.825, 0.825, 0.797], [0.844, 0.401, 0.779], [0.855, 0.283, 0.283], [0.859, 0.859, 0.285], [0.967, 0.540, 0.609], [0.992, 0.992, 0.144]]}



[6]
{"formula": "NaTi2O4", "functional": "SCAN", "state": "PBEsol geometry", "e_above_lowest_polymorph_ev_per_fu": 0.28, "volume_a3_per_atom": 11.4, "space_group": "Fd-3m", "lattice": [[0.000, 4.310, 4.310], [4.310, 0.000, 4.310], [4.310, 4.310, 0.000]], "species": ["Na", "Na", "Ti", "Ti", "Ti", "Ti", "O", "O", "O", "O", "O", "O", "O", "O"], "fractional_positions": [[0.125, 0.125, 0.125], [0.875, 0.875, 0.875], [0.000, 0.500, 0.500], [0.500, 0.000, 0.500], [0.500, 0.500, 0.000], [0.500, 0.500, 0.500], [0.268, 0.268, 0.268], [0.268, 0.268, 0.695], [0.268, 0.695, 0.268], [0.305, 0.732, 0.732], [0.695, 0.268, 0.268], [0.732, 0.305, 0.732], [0.732, 0.732, 0.305], [0.732, 0.732, 0.732]]}



[7]
{"formula": "Na4Ti5O12", "functional": "SCAN", "state": "PBEsol geometry", "e_above_lowest_polymorph_ev_per_fu": 1.12, "volume_a3_per_atom": 12.0, "space_group": "C2/c", "lattice": [[4.296, -4.350, 0.000], [4.296, 4.350, 0.000], [-3.574, 0.000, 13.436]], "species": ["Na", "Na", "Na", "Na", "Na", "Na", "Na", "Na", "Ti", "Ti", "Ti", "Ti", "Ti", "Ti", "Ti", "Ti", "Ti", "Ti", "O", "O", "O", "O", "O", "O", "O", "O", "O", "O", "O", "O", "O", "O", "O", "O", "O", "O", "O", "O", "O", "O", "O", "O"], "fractional_positions": [[0.000, 0.000, 0.000], [0.000, 0.000, 0.500], [0.108, 0.892, 0.750], [0.184, 0.458, 0.920], [0.458, 0.184, 0.420], [0.542, 0.816, 0.580], [0.816, 0.542, 0.080], [0.892, 0.108, 0.250], [0.000, 0.500, 0.500], [0.172, 0.639, 0.336], [0.329, 0.354, 0.667], [0.354, 0.329, 0.167], [0.361, 0.828, 0.164], [0.500, 0.000, 0.000], [0.639, 0.172, 0.836], [0.646, 0.671, 0.833], [0.671, 0.646, 0.333], [0.828, 0.361, 0.664], [0.050, 0.579, 0.647], [0.069, 0.184, 0.682], [0.156, 0.565, 0.178], [0.184, 0.069, 0.182], [0.220, 0.709, 0.474], [0.238, 0.298, 0.528], [0.291, 0.780, 0.026], [0.298, 0.238, 0.028], [0.420, 0.432, 0.818], [0.421, 0.950, 0.853], [0.432, 0.420, 0.318], [0.435, 0.844, 0.322], [0.565, 0.156, 0.678], [0.568, 0.580, 0.682], [0.579, 0.050, 0.147], [0.580, 0.568, 0.182], [0.702, 0.762, 0.972], [0.709, 0.220, 0.974], [0.762, 0.702, 0.472], [0.780, 0.291, 0.526], [0.816, 0.931, 0.818], [0.844, 0.435, 0.822], [0.931, 0.816, 0.318], [0.950, 0.421, 0.353]]}



[8]
{"formula": "NaTi2O4", "functional": "SCAN", "state": "PBEsol geometry", "e_above_lowest_polymorph_ev_per_fu": 0.00, "volume_a3_per_atom": 10.4, "space_group": "Pnma", "lattice": [[9.239, 0.000, 0.000], [0.000, 2.926, 0.000], [0.000, 0.000, 10.735]], "species": ["Na", "Na", "Na", "Na", "Ti", "Ti", "Ti", "Ti", "Ti", "Ti", "Ti", "Ti", "O", "O", "O", "O", "O", "O", "O", "O", "O", "O", "O", "O", "O", "O", "O", "O"], "fractional_positions": [[0.242, 0.250, 0.155], [0.258, 0.750, 0.655], [0.742, 0.250, 0.345], [0.758, 0.750, 0.845], [0.063, 0.250, 0.389], [0.082, 0.250, 0.897], [0.418, 0.750, 0.397], [0.437, 0.750, 0.889], [0.563, 0.250, 0.111], [0.582, 0.250, 0.603], [0.918, 0.750, 0.103], [0.937, 0.750, 0.611], [0.022, 0.750, 0.782], [0.081, 0.250, 0.571], [0.114, 0.750, 0.022], [0.208, 0.750, 0.350], [0.292, 0.250, 0.850], [0.386, 0.250, 0.522], [0.419, 0.750, 0.071], [0.478, 0.250, 0.282], [0.522, 0.750, 0.718], [0.581, 0.250, 0.929], [0.614, 0.750, 0.478], [0.708, 0.750, 0.150], [0.792, 0.250, 0.650], [0.886, 0.250, 0.978], [0.919, 0.750, 0.429], [0.978, 0.250, 0.218]]}



[9]
{"formula": "Na2Ti12O25", "functional": "SCAN", "state": "PBEsol geometry", "e_above_lowest_polymorph_ev_per_fu": 0.00, "volume_a3_per_atom": 12.4, "space_group": "P1", "lattice": [[7.462, 0.000, 0.000], [3.728, 9.255, 0.000], [0.006, 3.990, 13.969]], "species": ["Na", "Na", "Na", "Na", "Ti", "Ti", "Ti", "Ti", "Ti", "Ti", "Ti", "Ti", "Ti", "Ti", "Ti", "Ti", "Ti", "Ti", "Ti", "Ti", "Ti", "Ti", "Ti", "Ti", "Ti", "Ti", "Ti", "Ti", "O", "O", "O", "O", "O", "O", "O", "O", "O", "O", "O", "O", "O", "O", "O", "O", "O", "O", "O", "O", "O", "O", "O", "O", "O", "O", "O", "O", "O", "O", "O", "O", "O", "O", "O", "O", "O", "O", "O", "O", "O", "O", "O", "O", "O", "O", "O", "O", "O", "O"], "fractional_positions": [[0.000, 0.000, 0.000], [0.099, 0.303, 0.465], [0.498, 0.005, 0.003], [0.701, 0.598, 0.921], [0.011, 0.980, 0.613], [0.032, 0.937, 0.371], [0.092, 0.318, 0.086], [0.105, 0.292, 0.841], [0.168, 0.666, 0.558], [0.188, 0.624, 0.316], [0.259, 0.987, 0.788], [0.297, 0.909, 0.206], [0.333, 0.335, 0.256], [0.367, 0.268, 0.672], [0.403, 0.697, 0.724], [0.443, 0.617, 0.141], [0.510, 0.981, 0.611], [0.532, 0.937, 0.370], [0.591, 0.317, 0.085], [0.604, 0.292, 0.841], [0.667, 0.667, 0.559], [0.690, 0.623, 0.317], [0.755, 0.987, 0.787], [0.797, 0.908, 0.205], [0.833, 0.334, 0.257], [0.866, 0.269, 0.672], [0.902, 0.696, 0.724], [0.941, 0.617, 0.141], [0.048, 0.909, 0.503], [0.063, 0.376, 0.221], [0.067, 0.869, 0.243], [0.095, 0.299, 0.965], [0.133, 0.735, 0.687], [0.137, 0.227, 0.708], [0.151, 0.694, 0.425], [0.203, 0.098, 0.139], [0.208, 0.586, 0.180], [0.223, 0.061, 0.890], [0.264, 0.460, 0.601], [0.273, 0.424, 0.360], [0.280, 0.942, 0.648], [0.288, 0.924, 0.343], [0.341, 0.824, 0.100], [0.343, 0.317, 0.120], [0.355, 0.291, 0.807], [0.379, 0.782, 0.828], [0.393, 0.182, 0.567], [0.413, 0.675, 0.586], [0.423, 0.144, 0.326], [0.423, 0.656, 0.282], [0.488, 0.024, 0.745], [0.502, 0.537, 0.043], [0.511, 0.505, 0.788], [0.543, 0.911, 0.502], [0.563, 0.376, 0.225], [0.567, 0.868, 0.243], [0.607, 0.299, 0.964], [0.632, 0.738, 0.683], [0.637, 0.229, 0.705], [0.655, 0.695, 0.426], [0.701, 0.098, 0.139], [0.709, 0.585, 0.183], [0.716, 0.062, 0.889], [0.776, 0.949, 0.645], [0.777, 0.460, 0.602], [0.786, 0.930, 0.342], [0.806, 0.423, 0.362], [0.837, 0.824, 0.098], [0.839, 0.783, 0.827], [0.846, 0.308, 0.124], [0.859, 0.282, 0.809], [0.911, 0.680, 0.586], [0.920, 0.662, 0.280], [0.927, 0.180, 0.569], [0.935, 0.144, 0.329], [0.962, 0.538, 0.042], [0.986, 0.504, 0.788], [0.993, 0.015, 0.749]]}



> Number 3 is which compound?

NaTi2O4